The following is a PBE-GGA calculation of a relaxed structure of FeTc3Ni, from Alexandria via LeMat-Bulk.

## Properties
**Energy of formation from the pure elements**: 1.411 eV/atom
**M_tot**: 0.000 μB/cell
**ΔE to the lowest computed polymorph**: 0.0 meV per atom
**Calculated total energy**: -0.5628 Ry per atom

Lattice parameters (Å, degrees): 4.344 4.344 4.344 90.00 90.00 90.00
Atoms (fractional coordinates):
Tc1 0.000 0.500 0.000
Tc2 0.500 0.000 0.000
Tc3 0.000 0.000 0.500
Ni1 0.500 0.500 0.500
Fe1 0.000 0.000 0.000